VASP calculation (GGA-PBE) on a relaxed structure of LiBeGaNi.

Computed properties:
Electronic total energy ... -3.819 eV/atom
Offset from the most stable computed form ... 0 meV/atom
Magnetization ... 0.0 μB/f.u.

Cell and atoms, written as CIF:
```
data_LiBeGaNi
_chemical_formula_sum 'Li4 Be4 Ga4 Ni4'
_space_group_name_H-M_alt 'F -4 3 m'
_space_group_IT_number 216
_space_group_name_Hall 'F -4 2 3'
_cell_length_a 5.6162
_cell_length_b 5.6162
_cell_length_c 5.6162
_cell_angle_alpha 90.00
_cell_angle_beta 90.00
_cell_angle_gamma 90.00
loop_
_atom_site_label
_atom_site_fract_x
_atom_site_fract_y
_atom_site_fract_z
Li1 0.0000 0.0000 0.0000
Be1 0.2500 0.2500 0.7500
Ga1 0.2500 0.2500 0.2500
Ni1 0.0000 0.0000 0.5000
```